Below is Li5Cd2Ag2Pd after structural relaxation, with properties calculated at the PBE level.

Unit cell a=3.082 b=10.649 c=10.649 alpha=90.00 beta=90.00 gamma=90.00
Positions (direct):
Li  0.500  0.188  0.035
Li  0.500  0.812  0.965
Li  0.500  0.035  0.812
Li  0.500  0.688  0.465
Li  0.500  0.965  0.188
Li  0.500  0.312  0.535
Li  0.500  0.535  0.688
Li  0.500  0.465  0.312
Li  0.500  0.500  0.000
Li  0.500  0.000  0.500
Cd  0.000  0.667  0.167
Cd  0.000  0.333  0.833
Cd  0.000  0.167  0.333
Cd  0.000  0.833  0.667
Ag  0.000  0.142  0.642
Ag  0.000  0.858  0.358
Ag  0.000  0.642  0.858
Ag  0.000  0.358  0.142
Pd  0.000  0.000  0.000
Pd  0.000  0.500  0.500

Output
* formation energy: -19 kJ per mole of atoms
* magnetic moment: 0.0 μB/f.u.